DFT (PBE+U) results for a relaxed structure of KMoP2O8.

Properties
The calculation puts the distance to the lowest polymorph of the same formula at 60 meV/atom. Its total energy is -6.9326 eV/atom.

Cell and atoms, written as POSCAR:
```
KMoP2O8
1.0
5.032 0.000 0.000
-2.516 4.358 0.000
0.000 0.000 8.548
K Mo P O
1 1 2 8
direct
0.000 0.000 0.000 K
0.000 0.000 0.500 Mo
0.333 0.667 0.708 P
0.667 0.333 0.292 P
0.084 0.351 0.638 O
0.267 0.916 0.638 O
0.333 0.667 0.882 O
0.351 0.267 0.362 O
0.649 0.733 0.638 O
0.667 0.333 0.118 O
0.733 0.084 0.362 O
0.916 0.649 0.362 O
```